DFT (PBE-GGA) results for a relaxed structure of LaSm2Sc.

The structure in CIF format:
```
data_LaSm2Sc
_chemical_formula_sum 'La1 Sm2 Sc1'
_symmetry_space_group_name_H-M 'P 1'
_symmetry_Int_Tables_number 1
_cell_length_a 3.5697
_cell_length_b 3.5697
_cell_length_c 11.8010
_cell_angle_alpha 81.30
_cell_angle_beta 81.30
_cell_angle_gamma 60.00
loop_
_symmetry_equiv_pos_as_xyz
'x,y,z'
loop_
_atom_site_label
_atom_site_fract_x
_atom_site_fract_y
_atom_site_fract_z
_atom_site_occupancy
Sc1 0.6665 0.6665 0.0006 1
La1 0.5000 0.5000 0.5001 1
Sm1 0.0779 0.0779 0.7663 1
Sm2 0.2557 0.2557 0.2330 1
```

* energy of formation: 0.06 eV per atom
* space-group type: R3m, No. 160
* ΔE to the lowest computed polymorph: 0.014 eV/atom
* energy: -5.115 eV per atom
* crystal system: trigonal
* calculated volume: 32.06 Å³ per atom